#P
Y2Hg2Br after structural relaxation, computed with PBE-GGA. Values from VASP.

```
&SYSTEM
  ibrav = 0, nat = 10, ntyp = 3
/
ATOMIC_SPECIES
Y 88.91 Y.upf
Hg 200.59 Hg.upf
Br 79.90 Br.upf
CELL_PARAMETERS angstrom
8.5725 0.0000 0.0000
0.0000 8.5725 0.0000
0.0000 0.0000 3.7588
ATOMIC_POSITIONS crystal
Y 0.1715 0.6715 0.5000
Y 0.6715 0.8285 0.5000
Y 0.8285 0.3285 0.5000
Y 0.3285 0.1715 0.5000
Hg 0.3740 0.8740 0.0000
Hg 0.8740 0.6260 0.0000
Hg 0.6260 0.1260 0.0000
Hg 0.1260 0.3740 0.0000
Br 0.0000 0.0000 0.0000
Br 0.5000 0.5000 0.0000
```

M_tot, μB per cell: 0.0
Theoretical density, g/cm³: 7.922

=====

#Q
Y2Hg2Br after structural relaxation, computed with PBE-GGA. Values from VASP.

```
&SYSTEM
  ibrav = 0, nat = 10, ntyp = 3
/
ATOMIC_SPECIES
Y 88.91 Y.upf
Hg 200.59 Hg.upf
Br 79.90 Br.upf
CELL_PARAMETERS angstrom
-2.4814 -4.5482 5.7724
6.8705 0.7265 3.5259
-1.5401 3.6851 2.2416
ATOMIC_POSITIONS crystal
Y 0.3384 0.8384 0.0000
Y 0.8384 0.6616 0.0000
Y 0.6616 0.1616 0.0000
Y 0.1616 0.3384 0.0000
Hg 0.1387 0.6387 0.5000
Hg 0.6387 0.8613 0.5000
Hg 0.8613 0.3613 0.5000
Hg 0.3613 0.1387 0.5000
Br 0.0000 0.0000 0.0000
Br 0.5000 0.5000 0.0000
```

M_tot, μB per cell: 0.0
Theoretical density, g/cm³: 7.941

=====

Bottom line: #Q, by a margin of 22.9 kJ/mol of atoms.

=====

#P
YHgBr3 after structural relaxation, computed with PBE-GGA. Values from VASP.

```
&SYSTEM
  ibrav = 0, nat = 5, ntyp = 3
/
ATOMIC_SPECIES
Y 88.91 Y.upf
Hg 200.59 Hg.upf
Br 79.90 Br.upf
CELL_PARAMETERS angstrom
5.6294 0.0000 0.0000
0.0000 5.6294 0.0000
0.0000 0.0000 5.6294
ATOMIC_POSITIONS crystal
Y 0.0000 0.0000 0.0000
Hg 0.5000 0.5000 0.5000
Br 0.0000 0.5000 0.0000
Br 0.0000 0.0000 0.5000
Br 0.5000 0.0000 0.0000
```

M_tot, μB per cell: 0.0
Theoretical density, g/cm³: 4.926

=====

#Q
YHgBr3 after structural relaxation, computed with PBE-GGA. Values from VASP.

```
&SYSTEM
  ibrav = 0, nat = 10, ntyp = 3
/
ATOMIC_SPECIES
Y 88.91 Y.upf
Hg 200.59 Hg.upf
Br 79.90 Br.upf
CELL_PARAMETERS angstrom
9.2833 -0.1456 2.2225
1.2425 6.4639 3.7727
0.2286 -0.0177 7.5833
ATOMIC_POSITIONS crystal
Y 0.9996 0.1666 0.1666
Y 0.0004 0.8334 0.8334
Hg 0.3994 0.4087 0.4087
Hg 0.6006 0.5913 0.5913
Br 0.1968 0.4565 0.9568
Br 0.1968 0.9568 0.4565
Br 0.8032 0.5435 0.0432
Br 0.8032 0.0432 0.5435
Br 0.8029 0.0432 0.0432
Br 0.1971 0.9568 0.9568
```

M_tot, μB per cell: 0.0
Theoretical density, g/cm³: 3.875

=====

Bottom line: #Q, by a margin of 7.2 kJ/mol of atoms.

=====

#P
Zn2HgBr after structural relaxation, computed with PBE-GGA. Values from VASP.

```
&SYSTEM
  ibrav = 0, nat = 8, ntyp = 3
/
ATOMIC_SPECIES
Zn 65.41 Zn.upf
Hg 200.59 Hg.upf
Br 79.90 Br.upf
CELL_PARAMETERS angstrom
-5.4480 -3.3345 -4.0201
4.5383 -0.1468 -6.0285
0.7100 -4.7905 -4.0732
ATOMIC_POSITIONS crystal
Zn 0.6373 0.1250 0.2500
Zn 0.1127 0.6250 0.2500
Zn 0.3750 0.3627 0.7500
Zn 0.8750 0.8873 0.7500
Hg 0.0000 0.0000 0.0000
Hg 0.7500 0.2500 0.5000
Br 0.5000 0.5000 0.0000
Br 0.2500 0.7500 0.5000
```

M_tot, μB per cell: 0.0
Theoretical density, g/cm³: 7.052

=====

#Q
Zn2HgBr after structural relaxation, computed with PBE-GGA. Values from VASP.

```
&SYSTEM
  ibrav = 0, nat = 4, ntyp = 3
/
ATOMIC_SPECIES
Zn 65.41 Zn.upf
Hg 200.59 Hg.upf
Br 79.90 Br.upf
CELL_PARAMETERS angstrom
-4.7167 -1.6495 -1.1805
-4.0396 3.1045 0.6368
-2.4387 1.9122 -4.0937
ATOMIC_POSITIONS crystal
Zn 0.2500 0.2500 0.2500
Zn 0.7500 0.7500 0.7500
Hg 0.5000 0.5000 0.5000
Br 0.0000 0.0000 0.0000
```

M_tot, μB per cell: 0.0
Theoretical density, g/cm³: 7.136

=====

#R
Zn2HgBr after structural relaxation, computed with PBE-GGA. Values from VASP.

```
&SYSTEM
  ibrav = 0, nat = 4, ntyp = 3
/
ATOMIC_SPECIES
Br 79.90 Br.upf
Hg 200.59 Hg.upf
Zn 65.41 Zn.upf
CELL_PARAMETERS angstrom
-2.1620 2.9378 0.4463
-0.8671 -3.1920 1.6010
4.5738 2.2947 7.0520
ATOMIC_POSITIONS crystal
Br 0.0000 0.0000 0.4423
Hg 0.5000 0.5000 0.7875
Zn 0.0000 0.0000 0.0312
Zn 0.5000 0.5000 0.2390
```

M_tot, μB per cell: 0.0
Theoretical density, g/cm³: 6.715

=====

Bottom line: #R, by a margin of 3.4 kJ/mol of atoms.